Here is crystalline InOs at its relaxed geometry from Alexandria. Energies are from PBE.

Values from the calculation:
E_form in eV/atom: 0.46
Total moment in μB/f.u.: 0.0

```
data_InOs
_chemical_formula_sum 'In2 Os2'
_space_group_name_H-M_alt 'P 1'
_space_group_IT_number 1
_cell_length_a 9.475
_cell_length_b 9.475
_cell_length_c 9.475
_cell_angle_alpha 18.08
_cell_angle_beta 18.08
_cell_angle_gamma 18.08
loop_
_space_group_symop_operation_xyz
'x,y,z'
loop_
_atom_site_label
_atom_site_type_symbol
_atom_site_fract_x
_atom_site_fract_y
_atom_site_fract_z
_atom_site_occupancy
In1 In 0.118 0.118 0.118 1
In2 In 0.882 0.882 0.882 1
Os1 Os 0.369 0.369 0.369 1
Os2 Os 0.631 0.631 0.631 1
```